Entry from the Alexandria database: a relaxed structure of Na3LiSe (PBE-GGA).

Lattice parameters (Å, degrees): 5.624 5.624 5.624 90.00 90.00 90.00
Positions (direct):
Na 0.000 0.500 0.000
Na 0.000 0.000 0.500
Na 0.500 0.000 0.000
Se 0.000 0.000 0.000
Li 0.500 0.500 0.500

As for the density of states at the Fermi level: 0.47 states/eV/cell. The offset from the most stable computed form is 0.0000 eV/atom. For the volume, the calculation gives 177.86 Å³/cell. As for the energy relative to the elements, uncorrected: -2.039 eV per formula unit.


Entry from the Alexandria database: a relaxed structure of LaCuBRu2 (PBE-GGA).

Lattice parameters (Å, degrees): 4.312 4.312 4.127 90.00 90.00 90.00
Positions (direct):
Ru 0.000 0.500 0.000
Ru 0.500 0.000 0.000
B 0.000 0.000 0.000
Cu 0.000 0.000 0.500
La 0.500 0.500 0.500

As for the density of states at the Fermi level: 5.93 states/eV/cell. The value obtained for the energy of formation is -0.18 eV per atom. The offset from the most stable computed form is 0.0000 eV/atom. For the volume, the calculation gives 76.73 Å³/cell.